(1)
PrCuNiGe2: relaxed, GGA-PBE.

The density of states at the Fermi level is 5.5 states/eV/cell. The value obtained for the energy of formation from the pure elements is -0.603 eV/atom. As for the electronic total energy: -53.81 eV for the cell shown.

It has space group I-4m2 (No. 119), with a = 4.179 Å, b = 4.179 Å, c = 10.071 Å, α = 90.00°, β = 90.00° and γ = 90.00°. The asymmetric unit holds Pr at (0.000, 0.000, 0.000), Cu at (0.000, 0.500, 0.750), Ni at (0.000, 0.500, 0.250) and Ge at (0.000, 0.000, 0.372).


(2)
LiCe2H: relaxed, GGA-PBE.

The density of states at the Fermi level is 23.2 states/eV/cell. As for the electronic total energy: -51.47 eV for the cell shown.

It has space group R-3m (No. 166, hexagonal axes), with a = 3.1159 Å, b = 3.1159 Å, c = 29.0474 Å, α = 90.00°, β = 90.00° and γ = 120.00°. The asymmetric unit holds Li at (0.0000, 0.0000, 0.0000), Ce at (0.0000, 0.0000, 0.1108) and H at (0.0000, 0.0000, 0.5000).


(3)
CaTb2Zn2Ge2: relaxed, GGA-PBE.

The density of states at the Fermi level is 15.3 states/eV/cell. The value obtained for the energy of formation from the pure elements is -0.399 eV/atom. As for the electronic total energy: -77.52 eV for the cell shown.

It has space group R-3m (No. 166, hexagonal axes), with a = 4.1917 Å, b = 4.1917 Å, c = 33.6435 Å, α = 90.00°, β = 90.00° and γ = 120.00°. The asymmetric unit holds Ca at (0.0000, 0.0000, 0.0000), Tb at (0.0000, 0.0000, 0.1230), Zn at (0.0000, 0.0000, 0.4019) and Ge at (0.0000, 0.0000, 0.2703).


(4)
Ba3Ta2Ti6O21: relaxed, GGA-PBE.

The calculation puts the energy relative to the elements, uncorrected at -93.1 eV per formula unit. The density of states at the Fermi level is 28.7 states/eV/cell. As for the electronic total energy: -548.12 eV for the cell shown.

It has space group P6_3/mcm (No. 193), with a = 9.0470 Å, b = 9.0470 Å, c = 11.9571 Å, α = 90.00°, β = 90.00° and γ = 120.00°. The asymmetric unit holds Ba at (0.0000, 0.4046, 0.2500), Ta at (0.3333, 0.6667, 0.0000), Ti at (0.0000, 0.2374, 0.5960), O at (0.0000, 0.2014, 0.0737), O at (0.0000, 0.2058, 0.7500) and O at (0.1672, 0.4803, 0.5997).


(5)
Ac2In5Pd4: relaxed, GGA-PBE.

The density of states at the Fermi level is 16.9 states/eV/cell. The value obtained for the energy of formation from the pure elements is -0.590 eV/atom. As for the electronic total energy: -196.67 eV for the cell shown.

It has space group Fmmm (No. 69), with a = 5.986 Å, b = 10.204 Å, c = 17.384 Å, α = 90.00°, β = 90.00° and γ = 90.00°. The asymmetric unit holds Ac at (0.000, 0.000, 0.131), In at (0.000, 0.000, 0.500), In at (0.250, 0.250, 0.000), In at (0.250, 0.250, 0.250) and Pd at (0.000, 0.153, 0.369).


(6)
CuIrW: relaxed, GGA-PBE.

The density of states at the Fermi level is 2.4 states/eV/cell. The value obtained for the energy of formation from the pure elements is 0.033 eV/atom. As for the electronic total energy: -25.81 eV for the cell shown.

It has space group P3m1 (No. 156), with a = 4.2705 Å, b = 4.2705 Å, c = 2.7110 Å, α = 90.00°, β = 90.00° and γ = 120.00°. The asymmetric unit holds Cu at (0.0000, 0.0000, 0.0000), Ir at (0.6667, 0.3333, 0.9966) and W at (0.3333, 0.6667, 0.4977).